[1]
Computed, not measured: a geometry-optimized LaCuPd3 structure at the PBE-GGA level of DFT.

**Calculated density**: 6.41 g/cm³
**Symmetry**: Pm-3m

a = 5.133 Å, b = 5.133 Å, c = 5.133 Å
α = 90.00°, β = 90.00°, γ = 90.00°
Sites, in units of the cell vectors:
Cu  0.500  0.500  0.500
Pd  0.000  0.500  0.000
Pd  0.000  0.000  0.500
Pd  0.500  0.000  0.000
La  0.000  0.000  0.000


[2]
Computed, not measured: a geometry-optimized LaCu2Pd structure at the PBE-GGA level of DFT.

**Calculated density**: 7.80 g/cm³
**Symmetry**: R-3m

a = 4.377 Å, b = 4.377 Å, c = 5.406 Å
α = 66.11°, β = 66.11°, γ = 60.00°
Sites, in units of the cell vectors:
Cu  0.796  0.796  0.611
Cu  0.204  0.204  0.389
Pd  0.500  0.500  0.500
La  0.000  0.000  0.000


[3]
Computed, not measured: a geometry-optimized La2Cu2Pd5 structure at the PBE-GGA level of DFT.

**Calculated density**: 9.23 g/cm³
**Symmetry**: P4/mmm

a = 4.263 Å, b = 4.263 Å, c = 9.271 Å
α = 90.00°, β = 90.00°, γ = 90.00°
Sites, in units of the cell vectors:
La  0.000  0.000  0.000
La  0.000  0.000  0.500
Cu  0.500  0.500  0.124
Cu  0.500  0.500  0.876
Pd  0.500  0.000  0.274
Pd  0.500  0.000  0.726
Pd  0.000  0.500  0.274
Pd  0.000  0.500  0.726
Pd  0.500  0.500  0.500


[4]
Computed, not measured: a geometry-optimized La4Cu3Pd structure at the PBE-GGA level of DFT.

**Calculated density**: 6.95 g/cm³
**Symmetry**: Pmm2

a = 4.005 Å, b = 4.585 Å, c = 11.101 Å
α = 90.00°, β = 90.00°, γ = 90.00°
Sites, in units of the cell vectors:
La  0.500  0.500  0.362
La  0.000  0.500  0.861
La  0.000  0.000  0.137
La  0.500  0.000  0.639
Cu  0.000  0.500  0.565
Cu  0.000  0.000  0.434
Cu  0.500  0.000  0.927
Pd  0.500  0.500  0.075


[5]
Computed, not measured: a geometry-optimized LaCuPd4 structure at the PBE-GGA level of DFT.

**Calculated density**: 9.44 g/cm³
**Symmetry**: F-43m

a = 5.386 Å, b = 5.386 Å, c = 5.386 Å
α = 60.00°, β = 60.00°, γ = 60.00°
Sites, in units of the cell vectors:
Cu  0.000  0.000  0.000
Pd  0.626  0.626  0.123
Pd  0.626  0.123  0.626
Pd  0.626  0.626  0.626
Pd  0.123  0.626  0.626
La  0.250  0.250  0.250


[6]
Computed, not measured: a geometry-optimized LaCu6Pd6 structure at the PBE-GGA level of DFT.

**Calculated density**: 9.81 g/cm³
**Symmetry**: Immm

a = 5.039 Å, b = 6.730 Å, c = 6.730 Å
α = 83.29°, β = 68.01°, γ = 68.01°
Sites, in units of the cell vectors:
La  0.000  0.000  0.000
Cu  0.000  0.500  0.000
Cu  0.500  0.500  0.000
Cu  0.000  0.000  0.500
Cu  0.500  0.000  0.500
Cu  0.500  0.761  0.239
Cu  0.500  0.239  0.761
Pd  0.344  0.656  0.656
Pd  0.656  0.344  0.344
Pd  0.000  0.348  0.652
Pd  0.000  0.652  0.348
Pd  0.304  0.196  0.196
Pd  0.696  0.804  0.804


[7]
Computed, not measured: a geometry-optimized LaCu2Pd2 structure at the PBE-GGA level of DFT.

**Calculated density**: 8.62 g/cm³
**Symmetry**: I4/mmm

a = 4.192 Å, b = 4.192 Å, c = 6.029 Å
α = 69.66°, β = 69.66°, γ = 90.00°
Sites, in units of the cell vectors:
Cu  0.389  0.389  0.221
Cu  0.611  0.611  0.779
Pd  0.750  0.250  0.500
Pd  0.250  0.750  0.500
La  0.000  0.000  0.000


[8]
Computed, not measured: a geometry-optimized LaCu2Pd2 structure at the PBE-GGA level of DFT.

**Calculated density**: 9.15 g/cm³
**Symmetry**: P4/mbm

a = 7.489 Å, b = 7.489 Å, c = 3.099 Å
α = 90.00°, β = 90.00°, γ = 90.00°
Sites, in units of the cell vectors:
Cu  0.149  0.649  0.500
Cu  0.649  0.851  0.500
Cu  0.851  0.351  0.500
Cu  0.351  0.149  0.500
Pd  0.358  0.858  0.000
Pd  0.858  0.642  0.000
Pd  0.642  0.142  0.000
Pd  0.142  0.358  0.000
La  0.000  0.000  0.000
La  0.500  0.500  0.000


[9]
Computed, not measured: a geometry-optimized LaCu2Pd structure at the PBE-GGA level of DFT.

**Calculated density**: 8.20 g/cm³
**Symmetry**: Cmcm

a = 4.442 Å, b = 5.479 Å, c = 6.780 Å
α = 90.00°, β = 90.00°, γ = 113.91°
Sites, in units of the cell vectors:
La  0.910  0.821  0.250
La  0.090  0.179  0.750
Cu  0.380  0.759  0.935
Cu  0.620  0.241  0.065
Cu  0.620  0.241  0.435
Cu  0.380  0.759  0.565
Pd  0.204  0.408  0.250
Pd  0.796  0.592  0.750


[10]
Computed, not measured: a geometry-optimized La4CuPd structure at the PBE-GGA level of DFT.

**Calculated density**: 5.71 g/cm³
**Symmetry**: I4_1md

a = 8.202 Å, b = 8.202 Å, c = 8.202 Å
α = 106.74°, β = 106.74°, γ = 115.08°
Sites, in units of the cell vectors:
La  0.249  0.945  0.697
La  0.751  0.452  0.701
La  0.695  0.499  0.197
La  0.202  0.001  0.201
La  0.302  0.499  0.803
La  0.800  0.001  0.799
La  0.751  0.050  0.299
La  0.249  0.552  0.303
Cu  0.753  0.753  0.000
Cu  0.503  0.003  0.500
Pd  0.248  0.248  0.000
Pd  0.998  0.498  0.500


[11]
Computed, not measured: a geometry-optimized LaCuPd2 structure at the PBE-GGA level of DFT.

**Calculated density**: 8.10 g/cm³
**Symmetry**: I-42d

a = 4.394 Å, b = 4.394 Å, c = 9.353 Å
α = 76.42°, β = 76.42°, γ = 90.00°
Sites, in units of the cell vectors:
Cu  0.500  0.500  0.000
Cu  0.250  0.750  0.500
Pd  0.552  0.125  0.250
Pd  0.198  0.625  0.250
Pd  0.375  0.448  0.750
Pd  0.875  0.802  0.750
La  0.000  0.000  0.000
La  0.750  0.250  0.500


[12]
Computed, not measured: a geometry-optimized LaCu4Pd2 structure at the PBE-GGA level of DFT.

**Calculated density**: 6.93 g/cm³
**Symmetry**: I4/mmm

a = 5.820 Å, b = 5.820 Å, c = 5.820 Å
α = 103.11°, β = 103.11°, γ = 123.13°
Sites, in units of the cell vectors:
La  0.000  0.000  0.000
Cu  0.723  0.500  0.223
Cu  0.500  0.723  0.223
Cu  0.500  0.277  0.777
Cu  0.277  0.500  0.777
Pd  0.250  0.750  0.500
Pd  0.750  0.250  0.500


Sequential energy of formation output: 0.8194; -0.3272; -0.5941; -0.3323; -0.4451; -0.3307; -0.4311; -0.3209; -0.4068; -0.1323; -0.3255; 0.1646 eV per atom